[1]
VASP calculation (PBE-GGA) on a relaxed LiCe2MoN5 crystal.

a b c (Å): 6.8751 6.8751 10.2651
angles (deg): 90.00 90.00 152.66
Positions (direct):
Li1 0.0337 0.9663 0.5000
Li2 0.9663 0.0337 0.0000
Ce1 0.3670 0.6330 0.3513
Ce2 0.3969 0.6031 0.7142
Ce3 0.6031 0.3969 0.2142
Ce4 0.6330 0.3670 0.8513
Mo1 0.3031 0.6969 0.0558
Mo2 0.6969 0.3031 0.5558
N1 0.0031 0.9969 0.8097
N2 0.1356 0.8644 0.0444
N3 0.1958 0.8042 0.4411
N4 0.2206 0.7794 0.7099
N5 0.4338 0.5662 0.1045
N6 0.5662 0.4338 0.6045
N7 0.7794 0.2206 0.2099
N8 0.8042 0.1958 0.9411
N9 0.8644 0.1356 0.5444
N10 0.9969 0.0031 0.3097

Computed properties:
Theoretical density = 6.8 Mg/m³
Raw formation energy = -0.816 eV per atom
Size of the total moment = 0.00 μB/f.u.
Space group = Cmc2_1, No. 36
Electronic total energy = -147.17 eV for the cell shown

***

[2]
VASP calculation (PBE-GGA) on a relaxed Li8CdAg6 crystal.

a b c (Å): 6.6901 6.6901 6.6901
angles (deg): 78.24 78.24 78.24
Positions (direct):
Li1 0.1153 0.1153 0.1153
Li2 0.1555 0.2561 0.5590
Li3 0.2561 0.5590 0.1555
Li4 0.4410 0.8445 0.7439
Li5 0.5590 0.1555 0.2561
Li6 0.7439 0.4410 0.8445
Li7 0.8445 0.7439 0.4410
Li8 0.8847 0.8847 0.8847
Cd1 0.5000 0.5000 0.5000
Ag1 0.1373 0.5243 0.8121
Ag2 0.1879 0.8627 0.4757
Ag3 0.4757 0.1879 0.8627
Ag4 0.5243 0.8121 0.1373
Ag5 0.8121 0.1373 0.5243
Ag6 0.8627 0.4757 0.1879

Computed properties:
Theoretical density = 4.8 Mg/m³
Size of the total moment = 0.00 μB/f.u.
DFT formation energy = -0.13 eV per atom
Space group = R-3, No. 148
ΔE to the lowest computed polymorph = 0.0 meV per atom
Electronic total energy = -35.22 eV for the cell shown

***

[3]
VASP calculation (PBE-GGA) on a relaxed PmN2F3 crystal.

a b c (Å): 5.7558 5.7558 7.1034
angles (deg): 98.48 98.48 87.36
Positions (direct):
Pm1 0.0829 0.9171 0.7500
Pm2 0.9171 0.0829 0.2500
N1 0.1935 0.5310 0.3600
N2 0.4690 0.8065 0.1400
N3 0.5310 0.1935 0.8600
N4 0.8065 0.4690 0.6400
F1 0.0997 0.2000 0.0094
F2 0.2000 0.0997 0.5094
F3 0.3470 0.6530 0.7500
F4 0.6530 0.3470 0.2500
F5 0.8000 0.9003 0.4906
F6 0.9003 0.8000 0.9906

Computed properties:
Theoretical density = 3.3 Mg/m³
Raw formation energy = -0.743 eV per atom
Size of the total moment = 6.00 μB/f.u.
Space group = C2/c, No. 15
Electronic total energy = -62.94 eV for the cell shown

***

[4]
VASP calculation (PBE-GGA) on a relaxed Sb3PO7 crystal.

a b c (Å): 9.6380 9.6380 12.6464
angles (deg): 104.05 104.05 90.14
Positions (direct):
Sb1 0.0947 0.7815 0.3111
Sb2 0.1470 0.4741 0.0444
Sb3 0.1476 0.8524 0.0000
Sb4 0.1522 0.5033 0.4417
Sb5 0.1708 0.5378 0.7398
Sb6 0.1943 0.8822 0.6292
Sb7 0.4643 0.8663 0.2101
Sb8 0.4741 0.1470 0.0444
Sb9 0.4788 0.7782 0.8864
Sb10 0.5022 0.8369 0.5278
Sb11 0.5033 0.1522 0.4417
Sb12 0.5378 0.1708 0.7398
Sb13 0.7782 0.4788 0.8864
Sb14 0.7815 0.0947 0.3111
Sb15 0.8369 0.5022 0.5278
Sb16 0.8524 0.1476 0.0000
Sb17 0.8663 0.4643 0.2101
Sb18 0.8822 0.1943 0.6292
P1 0.1259 0.1259 0.4670
P2 0.1674 0.1674 0.8921
P3 0.4791 0.4791 0.6486
P4 0.5263 0.5263 0.0356
P5 0.8333 0.8333 0.0863
P6 0.8361 0.8361 0.4458
O1 0.0176 0.0176 0.3655
O2 0.0356 0.2239 0.5401
O3 0.0508 0.5871 0.5932
O4 0.0764 0.0764 0.7816
O5 0.0787 0.5458 0.2699
O6 0.1048 0.6347 0.9671
O7 0.1382 0.3311 0.8928
O8 0.1443 0.1443 0.0036
O9 0.2029 0.7290 0.4789
O10 0.2176 0.2176 0.4257
O11 0.2239 0.0356 0.5401
O12 0.2465 0.8779 0.1613
O13 0.2615 0.7376 0.8026
O14 0.3129 0.4979 0.6380
O15 0.3311 0.1382 0.8928
O16 0.4130 0.8952 0.6627
O17 0.4170 0.4170 0.0452
O18 0.4215 0.9261 0.0246
O19 0.4347 0.6241 0.9619
O20 0.4374 0.9297 0.3884
O21 0.4979 0.3129 0.6380
O22 0.5192 0.5192 0.5517
O23 0.5458 0.0787 0.2699
O24 0.5607 0.5607 0.7687
O25 0.5871 0.0508 0.5932
O26 0.6159 0.6159 0.1462
O27 0.6241 0.4347 0.9619
O28 0.6347 0.1048 0.9671
O29 0.7290 0.2029 0.4789
O30 0.7351 0.7351 0.9806
O31 0.7361 0.9212 0.3696
O32 0.7376 0.2615 0.8026
O33 0.7404 0.7404 0.4834
O34 0.7420 0.9319 0.1549
O35 0.8779 0.2465 0.1613
O36 0.8952 0.4130 0.6627
O37 0.9212 0.7361 0.3696
O38 0.9261 0.4215 0.0246
O39 0.9297 0.4374 0.3884
O40 0.9319 0.7420 0.1549
O41 0.9352 0.9352 0.0514
O42 0.9393 0.9393 0.5454

Computed properties:
Theoretical density = 4.6 Mg/m³
Raw formation energy = -1.552 eV per atom
Size of the total moment = 0.00 μB/f.u.
Space group = Cm, No. 8
Electronic total energy = -417.33 eV for the cell shown

***

[5]
VASP calculation (PBE-GGA) on a relaxed CeSmY2P4 crystal.

a b c (Å): 7.0105 4.0563 7.0235
angles (deg): 90.00 109.42 90.00
Positions (direct):
Ce1 0.0000 0.0000 0.0000
Sm1 0.0000 0.5000 0.5000
Y1 0.5000 0.0000 0.5000
Y2 0.5000 0.5000 0.0000
P1 0.2535 0.0000 0.7539
P2 0.2530 0.5000 0.2493
P3 0.7465 0.0000 0.2461
P4 0.7470 0.5000 0.7507

Computed properties:
Theoretical density = 5.2 Mg/m³
Size of the total moment = 0.44 μB/f.u.
DFT formation energy = -1.59 eV per atom
Space group = P2/m, No. 10
Electronic total energy = -57.92 eV for the cell shown

***

[6]
VASP calculation (PBE-GGA) on a relaxed LiBe2Pt crystal.

a b c (Å): 4.4580 4.4580 4.4580
angles (deg): 135.31 135.31 65.05
Positions (direct):
Li1 0.0000 0.0000 0.0000
Be1 0.5000 0.5000 0.0000
Be2 0.7500 0.2500 0.5000
Pt1 0.2500 0.7500 0.5000

Computed properties:
Theoretical density = 8.5 Mg/m³
Size of the total moment = 0.00 μB/f.u.
DFT formation energy = -0.37 eV per atom
Space group = I-4m2, No. 119
Electronic total energy = -16.88 eV for the cell shown

***

[7]
VASP calculation (PBE-GGA) on a relaxed Nd6Os2CBr3 crystal.

a b c (Å): 7.0493 7.0493 8.0300
angles (deg): 98.43 98.43 119.94
Positions (direct):
Nd1 0.0618 0.3753 0.1881
Nd2 0.2522 0.2522 0.8121
Nd3 0.3753 0.0618 0.1881
Nd4 0.6247 0.9382 0.8119
Nd5 0.7478 0.7478 0.1879
Nd6 0.9382 0.6247 0.8119
Os1 0.3328 0.6672 0.0000
Os2 0.6672 0.3328 0.0000
C1 0.0000 0.0000 0.0000
Br1 0.1643 0.8357 0.5000
Br2 0.5000 0.5000 0.5000
Br3 0.8357 0.1643 0.5000

Computed properties:
Theoretical density = 7.5 Mg/m³
Raw formation energy = -0.700 eV per atom
Size of the total moment = 0.00 μB/f.u.
Space group = C2/m, No. 12
Electronic total energy = -73.71 eV for the cell shown

***

[8]
VASP calculation (PBE-GGA) on a relaxed AgTe3H crystal.

a b c (Å): 4.7869 4.7869 4.7869
angles (deg): 90.00 90.00 90.00
Positions (direct):
Ag1 0.0000 0.0000 0.0000
Te1 0.0000 0.5000 0.5000
Te2 0.5000 0.0000 0.5000
Te3 0.5000 0.5000 0.0000
H1 0.5000 0.5000 0.5000

Computed properties:
Theoretical density = 7.4 Mg/m³
Size of the total moment = 0.00 μB/f.u.
Space group = Pm-3m, No. 221
ΔE to the lowest computed polymorph = 0.0 meV per atom
Electronic total energy = -12.53 eV for the cell shown

***

[9]
VASP calculation (PBE-GGA) on a relaxed PrTm3Th2As6 crystal.

a b c (Å): 9.3059 9.3059 8.3148
angles (deg): 102.54 102.54 25.96
Positions (direct):
Pr1 0.0000 0.0000 0.0000
Tm1 0.0000 0.0000 0.5000
Tm2 0.3347 0.3347 0.1666
Tm3 0.6653 0.6653 0.8334
Th1 0.3343 0.3343 0.6690
Th2 0.6657 0.6657 0.3310
As1 0.1645 0.1645 0.5892
As2 0.1706 0.1706 0.0777
As3 0.4979 0.4979 0.2600
As4 0.5021 0.5021 0.7400
As5 0.8294 0.8294 0.9223
As6 0.8355 0.8355 0.4108

Computed properties:
Theoretical density = 8.4 Mg/m³
Size of the total moment = 0.00 μB/f.u.
DFT formation energy = -1.47 eV per atom
Space group = C2/m, No. 12
Electronic total energy = -78.57 eV for the cell shown

***

[10]
VASP calculation (PBE-GGA) on a relaxed YMgCd6 crystal.

a b c (Å): 4.6090 4.6090 8.6857
angles (deg): 90.00 90.00 90.00
Positions (direct):
Y1 0.0000 0.0000 0.0000
Mg1 0.0000 0.0000 0.5000
Cd1 0.0000 0.5000 0.2595
Cd2 0.0000 0.5000 0.7405
Cd3 0.5000 0.0000 0.2595
Cd4 0.5000 0.0000 0.7405
Cd5 0.5000 0.5000 0.0000
Cd6 0.5000 0.5000 0.5000

Computed properties:
Theoretical density = 7.1 Mg/m³
Size of the total moment = 0.00 μB/f.u.
DFT formation energy = -0.17 eV per atom
Space group = P4/mmm, No. 123
ΔE to the lowest computed polymorph = 3.1 meV per atom
Electronic total energy = -14.94 eV for the cell shown